## Ac12Ag3Ir5 (PBE)

Data for Ac12Ag3Ir5 after structural relaxation.

CIF file:
```
data_Ac12Ag3Ir5
_space_group_name_H-M_alt 'I a -3 d'
_space_group_IT_number 230
_space_group_name_Hall '-I 4bd 2c 3'
_cell_length_a 18.3239
_cell_length_b 18.3239
_cell_length_c 18.3239
_cell_angle_alpha 90.00
_cell_angle_beta 90.00
_cell_angle_gamma 90.00
loop_
_atom_site_label
_atom_site_type_symbol
_atom_site_fract_x
_atom_site_fract_y
_atom_site_fract_z
_atom_site_occupancy
Ac1 Ac 0.0277 0.0590 0.6493 1
Ag1 Ag 0.0000 0.2500 0.1250 1
Ir1 Ir 0.0000 0.0000 0.0000 1
Ir2 Ir 0.0000 0.2500 0.3750 1
```

Its magnetization is 0.00 μB/cell. The energy relative to the elements comes out at -264 meV/atom.